Record 1
This record from Alexandria describes a relaxed structure of MgTl2Pb. The functional is PBE.

Calculated values
- Uncorrected energy: -2.499 eV per atom
- Formation energy: 0.010 eV/atom

Lattice parameters (Å, degrees): 3.4737 5.2188 6.5646 90.00 105.00 90.00
Space group Pm (No. 6)
Symmetry-distinct sites (fractional):
Mg1 0.0000 0.0000 0.0000
Tl1 0.2402 0.0000 0.5041
Tl2 0.8463 0.5000 0.7241
Pb1 0.5901 0.5000 0.1950

Record 2
This record from Alexandria describes a relaxed structure of Mg7Tl2Pb2. The functional is PBE.

Calculated values
- Uncorrected energy: -2.114 eV per atom
- Formation energy: 0.005 eV/atom

Lattice parameters (Å, degrees): 7.3331 9.0051 8.9671 90.00 107.17 90.00
Space group C2/m (No. 12)
Symmetry-distinct sites (fractional):
Mg1 0.0000 0.0000 0.0000
Mg2 0.1262 0.0000 0.3694
Mg3 0.2434 0.3102 0.1722
Tl1 0.0909 0.5000 0.8409
Pb1 0.0000 0.2904 0.5000

Record 3
This record from Alexandria describes a relaxed structure of Mg6TlPb4. The functional is PBE.

Calculated values
- Uncorrected energy: -2.458 eV per atom
- Formation energy: -0.025 eV/atom

Lattice parameters (Å, degrees): 8.7347 8.7347 4.5375 90.00 90.00 120.00
Space group P-6m2 (No. 187)
Symmetry-distinct sites (fractional):
Mg1 0.2002 0.4003 0.0000
Mg2 0.5352 0.0705 0.5000
Tl1 0.0000 0.0000 0.5000
Pb1 0.3333 0.6667 0.5000
Pb2 0.3836 0.1918 0.0000

Record 4
This record from Alexandria describes a relaxed structure of MgTl2Pb. The functional is PBE.

Calculated values
- Uncorrected energy: -2.490 eV per atom
- Formation energy: 0.019 eV/atom

Lattice parameters (Å, degrees): 4.8463 4.8463 9.6606 90.00 90.00 90.00
Space group I-4m2 (No. 119)
Symmetry-distinct sites (fractional):
Mg1 0.0000 0.0000 0.0000
Tl1 0.0000 0.0000 0.5000
Tl2 0.0000 0.5000 0.2500
Pb1 0.0000 0.5000 0.7500

Record 5
This record from Alexandria describes a relaxed structure of Mg12Tl5Pb2. The functional is PBE.

Calculated values
- Uncorrected energy: -2.022 eV per atom
- Formation energy: -0.002 eV/atom

Lattice parameters (Å, degrees): 14.5571 9.1853 7.1672 90.00 93.96 90.00
Space group C2/m (No. 12)
Symmetry-distinct sites (fractional):
Mg1 0.0455 0.0000 0.2713
Mg2 0.1017 0.2201 0.6009
Mg3 0.1457 0.5000 0.8757
Mg4 0.1951 0.2591 0.2016
Tl1 0.0000 0.5000 0.5000
Tl2 0.1638 0.0000 0.9146
Tl3 0.2428 0.5000 0.5158
Pb1 0.0000 0.2810 0.0000

Record 6
This record from Alexandria describes a relaxed structure of Mg7Tl4Pb. The functional is PBE.

Calculated values
- Uncorrected energy: -1.964 eV per atom
- Formation energy: 0.064 eV/atom

Lattice parameters (Å, degrees): 11.7748 5.6410 11.0212 90.00 120.20 90.00
Space group C2/m (No. 12)
Symmetry-distinct sites (fractional):
Mg1 0.0000 0.0000 0.0000
Mg2 0.0424 0.5000 0.3659
Mg3 0.1522 0.0000 0.5335
Mg4 0.2078 0.5000 0.9211
Tl1 0.0949 0.0000 0.7714
Tl2 0.2349 0.0000 0.3120
Pb1 0.0000 0.5000 0.0000

Q: Which value of formation energy does entry 5 give?
A: -0.002 eV/atom